(1)
{"formula": "CaTlCd2", "functional": "PBE", "state": "relaxed", "crystal_system": "monoclinic", "sg": "No. 6", "density_g_cm3": 7.2, "volume_a3_per_atom": 27.1, "de_polymorph_mev_per_atom": 47, "lattice_angstrom": [[4.877, 0.000, 0.000], [0.000, 3.560, 0.260], [0.000, 1.570, 6.370]], "species": ["Cd", "Cd", "Tl", "Ca"], "frac_coords": [[0.000, 0.202, 0.999], [0.500, 0.025, 0.249], [0.000, 0.451, 0.476], [0.500, 0.822, 0.777]]}

(2)
{"formula": "CuSnBi", "functional": "PBE", "state": "relaxed", "crystal_system": "trigonal", "sg": "No. 156", "density_g_cm3": 8.5, "volume_a3_per_atom": 25.5, "de_polymorph_mev_per_atom": 43, "lattice_angstrom": [[5.076, 0.000, 0.000], [0.000, 4.169, 0.000], [0.000, -2.085, 3.611]], "species": ["Bi", "Sn", "Cu"], "frac_coords": [[0.751, 0.667, 0.333], [0.239, 0.333, 0.667], [0.010, 0.000, 0.000]]}

no.,ΔE_f (eV per atom)
1,-0.19
2,0.12